[1]
The following is a PBE calculation of SmNbTc after structural relaxation, from Alexandria via LeMat-Bulk.

abc: 6.932 6.932 6.248
angles: 90.00 90.00 90.00
Positions (direct):
Sm  0.245  0.245  0.000
Sm  0.255  0.745  0.250
Sm  0.745  0.255  0.750
Sm  0.755  0.755  0.500
Nb  0.201  0.799  0.750
Nb  0.299  0.299  0.500
Nb  0.701  0.701  0.000
Nb  0.799  0.201  0.250
Tc  0.045  0.045  0.500
Tc  0.455  0.545  0.750
Tc  0.545  0.455  0.250
Tc  0.955  0.955  0.000

Crystal system ... tetragonal
Total moment ... 0.00 μB per cell
Space-group type ... P4_12_12 (92)
Electronic total energy ... -7.9224 eV per atom

=====

[2]
The following is a PBE calculation of SmNbTc2 after structural relaxation, from Alexandria via LeMat-Bulk.

abc: 3.284 3.284 6.912
angles: 90.00 90.00 90.00
Positions (direct):
Sm  0.000  0.000  0.000
Nb  0.000  0.000  0.500
Tc  0.500  0.500  0.284
Tc  0.500  0.500  0.716

Crystal system ... tetragonal
Total moment ... 0.00 μB per cell
Space-group type ... P4/mmm (123)
Electronic total energy ... -8.8744 eV per atom